1.
A plane-wave DFT calculation with PBE-GGA was carried out for a relaxed structure of PrMg3Hg.

Values from the calculation:
**Crystal system**: orthorhombic

The structure in CIF format:
```
data_PrMg3Hg
_chemical_formula_sum 'Pr4 Mg12 Hg4'
_cell_length_a 9.415
_cell_length_b 4.383
_cell_length_c 12.540
_cell_angle_alpha 90.00
_cell_angle_beta 90.00
_cell_angle_gamma 90.00
_symmetry_space_group_name_H-M 'P n m a'
_symmetry_Int_Tables_number 62
_symmetry_space_group_name_Hall '-P 2ac 2n'
loop_
_atom_site_label
_atom_site_fract_x
_atom_site_fract_y
_atom_site_fract_z
_atom_site_occupancy
Pr1 0.171 0.250 0.001 1
Mg1 0.062 0.250 0.408 1
Mg2 0.096 0.750 0.220 1
Mg3 0.146 0.750 0.789 1
Hg1 0.133 0.250 0.629 1
```

***

2.
A plane-wave DFT calculation with PBE-GGA was carried out for a relaxed structure of Pr4MgHg5.

Values from the calculation:
**Crystal system**: tetragonal

The structure in CIF format:
```
data_Pr4MgHg5
_chemical_formula_sum 'Pr4 Mg1 Hg5'
_cell_length_a 3.797
_cell_length_b 3.797
_cell_length_c 19.025
_cell_angle_alpha 90.00
_cell_angle_beta 90.00
_cell_angle_gamma 90.00
_symmetry_space_group_name_H-M 'P 4/m m m'
_symmetry_Int_Tables_number 123
_symmetry_space_group_name_Hall '-P 4 2'
loop_
_atom_site_label
_atom_site_fract_x
_atom_site_fract_y
_atom_site_fract_z
_atom_site_occupancy
Pr1 0.000 0.000 0.104 1
Pr2 0.000 0.000 0.311 1
Mg1 0.000 0.000 0.500 1
Hg1 0.500 0.500 0.000 1
Hg2 0.500 0.500 0.206 1
Hg3 0.500 0.500 0.414 1
```

***

3.
A plane-wave DFT calculation with PBE-GGA was carried out for a relaxed structure of Pr3Mg2Hg7.

Values from the calculation:
**Crystal system**: tetragonal

The structure in CIF format:
```
data_Pr3Mg2Hg7
_chemical_formula_sum 'Pr6 Mg4 Hg14'
_cell_length_a 4.604
_cell_length_b 4.604
_cell_length_c 30.144
_cell_angle_alpha 90.00
_cell_angle_beta 90.00
_cell_angle_gamma 90.00
_symmetry_space_group_name_H-M 'I 4/m m m'
_symmetry_Int_Tables_number 139
_symmetry_space_group_name_Hall '-I 4 2'
loop_
_atom_site_label
_atom_site_fract_x
_atom_site_fract_y
_atom_site_fract_z
_atom_site_occupancy
Pr1 0.000 0.000 0.000 1
Pr2 0.000 0.000 0.171 1
Mg1 0.000 0.000 0.367 1
Hg1 0.000 0.000 0.276 1
Hg2 0.000 0.000 0.500 1
Hg3 0.000 0.500 0.080 1
```

***

4.
A plane-wave DFT calculation with PBE-GGA was carried out for a relaxed structure of Pr5MgHg4.

Values from the calculation:
**Crystal system**: tetragonal

The structure in CIF format:
```
data_Pr5MgHg4
_chemical_formula_sum 'Pr5 Mg1 Hg4'
_cell_length_a 3.882
_cell_length_b 3.882
_cell_length_c 19.259
_cell_angle_alpha 90.00
_cell_angle_beta 90.00
_cell_angle_gamma 90.00
_symmetry_space_group_name_H-M 'P 4/m m m'
_symmetry_Int_Tables_number 123
_symmetry_space_group_name_Hall '-P 4 2'
loop_
_atom_site_label
_atom_site_fract_x
_atom_site_fract_y
_atom_site_fract_z
_atom_site_occupancy
Pr1 0.000 0.000 0.000 1
Pr2 0.000 0.000 0.199 1
Pr3 0.000 0.000 0.398 1
Mg1 0.500 0.500 0.500 1
Hg1 0.500 0.500 0.100 1
Hg2 0.500 0.500 0.302 1
```

***

5.
A plane-wave DFT calculation with PBE-GGA was carried out for a relaxed structure of Pr7Mg2Hg2.

Values from the calculation:
**Crystal system**: orthorhombic

The structure in CIF format:
```
data_Pr7Mg2Hg2
_chemical_formula_sum 'Pr14 Mg4 Hg4'
_cell_length_a 7.799
_cell_length_b 11.503
_cell_length_c 8.449
_cell_angle_alpha 90.00
_cell_angle_beta 90.00
_cell_angle_gamma 90.00
_symmetry_space_group_name_H-M 'C m m m'
_symmetry_Int_Tables_number 65
_symmetry_space_group_name_Hall '-C 2 2'
loop_
_atom_site_label
_atom_site_fract_x
_atom_site_fract_y
_atom_site_fract_z
_atom_site_occupancy
Pr1 0.000 0.000 0.000 1
Pr2 0.000 0.500 0.250 1
Pr3 0.250 0.250 0.288 1
Mg1 0.176 0.000 0.500 1
Hg1 0.000 0.285 0.000 1
```

***

6.
A plane-wave DFT calculation with PBE-GGA was carried out for a relaxed structure of PrMg3Hg9.

Values from the calculation:
**Crystal system**: monoclinic

The structure in CIF format:
```
data_PrMg3Hg9
_chemical_formula_sum 'Pr2 Mg6 Hg18'
_cell_length_a 6.223
_cell_length_b 14.208
_cell_length_c 7.581
_cell_angle_alpha 90.00
_cell_angle_beta 113.98
_cell_angle_gamma 90.00
_symmetry_space_group_name_H-M 'C 1 2/m 1'
_symmetry_Int_Tables_number 12
_symmetry_space_group_name_Hall '-C 2y'
loop_
_atom_site_label
_atom_site_fract_x
_atom_site_fract_y
_atom_site_fract_z
_atom_site_occupancy
Pr1 0.000 0.000 0.000 1
Mg1 0.000 0.000 0.500 1
Mg2 0.250 0.250 0.000 1
Hg1 0.000 0.500 0.500 1
Hg2 0.129 0.392 0.213 1
Hg3 0.169 0.173 0.334 1
```

***

How do the records compare in E_tot? In the order shown, they have -2.18, -2.65, -1.90, -3.07, -3.34, -1.13 eV/atom.
How do the records compare in ΔE_f? In the order shown, they have -0.203, -0.429, -0.261, -0.399, 0.043, -0.184 eV/atom.